# 1
A geometry-optimized Li2RePt structure. Source: the Alexandria database, functional GGA-PBE.

energy of formation from the pure elements: -0.038 eV per atom
symmetry: P4mm, No. 99
excess energy over the best structure of this formula in the dataset: 91 meV/atom

a b c (Å): 2.7259 2.7259 7.9615
angles (deg): 90.00 90.00 90.00
Last column: nearest neighbours and their distance in Å.
Fractional coordinates of all 4 atoms:
Li 0.0000 0.0000 0.0000  8 Li 2.73-2.94, 4 Re 2.77
Li 0.5000 0.5000 0.2792  4 Pt 2.64, 8 Li 2.73-2.94
Re 0.5000 0.5000 0.7505  4 Re 2.73, 4 Pt 2.74, 4 Li 2.77
Pt 0.0000 0.0000 0.5054  4 Li 2.64, 4 Pt 2.73, 4 Re 2.74

# 2
A geometry-optimized CdPd2Se2 structure. Source: the Alexandria database, functional GGA-PBE.

symmetry: I4/mmm, No. 139
excess energy over the best structure of this formula in the dataset: 9 meV/atom
energy relative to the elements, uncorrected: -0.066 eV per atom

a b c (Å): 6.9421 6.9421 6.9421
angles (deg): 145.71 145.71 49.27
Last column: nearest neighbours and their distance in Å.
Fractional coordinates of all 5 atoms:
Cd 0.0000 0.0000 0.0000  8 Se 3.31
Pd 0.2500 0.7500 0.5000  4 Se 2.57
Pd 0.7500 0.2500 0.5000  4 Se 2.57
Se 0.3734 0.3734 0.0000  4 Pd 2.57
Se 0.6266 0.6266 0.0000  4 Pd 2.57

# 3
A geometry-optimized PrTlAgI5 structure. Source: the Alexandria database, functional GGA-PBE.

symmetry: C2/c, No. 15
energy relative to the elements, uncorrected: -0.909 eV per atom

a b c (Å): 8.5653 8.5653 11.5822
angles (deg): 102.88 102.88 108.69
Last column: nearest neighbours and their distance in Å.
Fractional coordinates of all 16 atoms:
Pr 0.0000 0.0000 0.0000  6 I 3.14-3.18
Pr 0.0000 0.0000 0.5000  6 I 3.14-3.18
Tl 0.3775 0.6225 0.7500  4 I 3.51
Tl 0.6225 0.3775 0.2500  4 I 3.51
Ag 0.3100 0.6900 0.2500  4 I 2.83-2.88
Ag 0.6900 0.3100 0.7500  4 I 2.83-2.88
I 0.0592 0.6677 0.3758  1 Ag 2.83, 1 Pr 3.14
I 0.0944 0.9056 0.7500  2 Pr 3.18
I 0.2531 0.3874 0.0511  1 Ag 2.88, 1 Pr 3.16
I 0.3323 0.9408 0.1242  1 Ag 2.83, 1 Pr 3.14
I 0.3874 0.2531 0.5511  1 Ag 2.88, 1 Pr 3.16
I 0.6126 0.7469 0.4489  1 Ag 2.88, 1 Pr 3.16
I 0.6677 0.0592 0.8758  1 Ag 2.83, 1 Pr 3.14
I 0.7469 0.6126 0.9489  1 Ag 2.88, 1 Pr 3.16
I 0.9056 0.0944 0.2500  2 Pr 3.18
I 0.9408 0.3323 0.6242  1 Ag 2.83, 1 Pr 3.14

# 4
A geometry-optimized AlSiAs2 structure. Source: the Alexandria database, functional GGA-PBE.

symmetry: Pmmm, No. 47
excess energy over the best structure of this formula in the dataset: 345 meV/atom
energy relative to the elements, uncorrected: 0.297 eV per atom

a b c (Å): 2.7636 4.6848 5.5971
angles (deg): 90.00 90.00 90.00
Last column: nearest neighbours and their distance in Å.
Fractional coordinates of all 4 atoms:
Al 0.0000 0.0000 0.0000  2 Al 2.76, 8 As 3.03
Si 0.5000 0.0000 0.5000  4 As 2.76, 2 Si 2.76
As 0.5000 0.5000 0.2406  4 As 2.69-2.90, 2 Si 2.76
As 0.5000 0.5000 0.7594  4 As 2.69-2.90, 2 Si 2.76

# 5
A geometry-optimized LiCa2RhPb2 structure. Source: the Alexandria database, functional GGA-PBE.

energy of formation from the pure elements: -0.420 eV per atom
symmetry: Ibam, No. 72

a b c (Å): 8.4726 8.4726 8.4726
angles (deg): 134.04 66.34 134.92
Last column: nearest neighbours and their distance in Å.
Fractional coordinates of all 12 atoms:
Li 0.2500 0.2500 0.0000  4 Pb 2.77
Li 0.7500 0.7500 0.0000  4 Pb 2.77
Ca 0.1547 0.7298 0.8844  2 Rh 3.12, 2 Li 3.26, 5 Pb 3.26-3.47
Ca 0.3453 0.2298 0.5751  2 Rh 3.12, 2 Li 3.26, 5 Pb 3.26-3.47
Ca 0.6547 0.7702 0.4249  2 Rh 3.12, 2 Li 3.26, 5 Pb 3.26-3.47
Ca 0.8453 0.2702 0.1156  2 Rh 3.12, 2 Li 3.26, 5 Pb 3.26-3.47
Rh 0.2500 0.7500 0.5000  4 Pb 2.81, 4 Ca 3.12
Rh 0.7500 0.2500 0.5000  4 Pb 2.81, 4 Ca 3.12
Pb 0.1095 0.2459 0.3554  2 Li 2.77, 2 Rh 2.81
Pb 0.3905 0.7459 0.1364  2 Li 2.77, 2 Rh 2.81
Pb 0.6095 0.2541 0.8636  2 Li 2.77, 2 Rh 2.81
Pb 0.8905 0.7541 0.6446  2 Li 2.77, 2 Rh 2.81

# 6
A geometry-optimized Cs2Mg2F5 structure. Source: the Alexandria database, functional GGA-PBE.

symmetry: C2/m, No. 12
energy relative to the elements, uncorrected: -2.814 eV per atom

a b c (Å): 6.5327 6.5327 7.8885
angles (deg): 102.82 102.82 36.13
Last column: nearest neighbours and their distance in Å.
Fractional coordinates of all 9 atoms:
Cs 0.0949 0.0949 0.3531  5 F 3.05-3.30
Cs 0.9051 0.9051 0.6469  5 F 3.05-3.30
Mg 0.3534 0.3534 0.0700  5 F 1.91-2.11
Mg 0.6466 0.6466 0.9300  5 F 1.91-2.11
F 0.1792 0.1792 0.9923  3 Mg 2.10-2.11
F 0.4073 0.4073 0.3176  1 Mg 1.91
F 0.5000 0.5000 0.0000  2 Mg 2.02
F 0.5927 0.5927 0.6824  1 Mg 1.91
F 0.8208 0.8208 0.0077  3 Mg 2.10-2.11

# 7
A geometry-optimized CdTcAu4 structure. Source: the Alexandria database, functional GGA-PBE.

energy of formation from the pure elements: 0.400 eV per atom
symmetry: F-43m, No. 216

a b c (Å): 5.4888 5.4888 5.4888
angles (deg): 60.00 60.00 60.00
Last column: nearest neighbours and their distance in Å.
Fractional coordinates of all 6 atoms:
Cd 0.0000 0.0000 0.0000  12 Au 3.22, 4 Tc 3.36
Tc 0.7500 0.7500 0.7500  12 Au 3.22, 4 Cd 3.36
Au 0.3751 0.3751 0.3751  6 Au 2.74-2.75
Au 0.3751 0.3751 0.8747  6 Au 2.74-2.75
Au 0.3751 0.8747 0.3751  6 Au 2.74-2.75
Au 0.8747 0.3751 0.3751  6 Au 2.74-2.75

# 8
A geometry-optimized LaH6Ru structure. Source: the Alexandria database, functional GGA-PBE.

symmetry: R-3m, No. 166
VASP energy: -4.535 eV/atom

a b c (Å): 4.4819 4.4819 4.4819
angles (deg): 64.62 64.62 64.62
Last column: nearest neighbours and their distance in Å.
Fractional coordinates of all 8 atoms:
La 0.0000 0.0000 0.0000  18 H 2.61-2.79
H 0.0605 0.6147 0.6147  1 Ru 1.70
H 0.3853 0.3853 0.9395  1 Ru 1.70
H 0.3853 0.9395 0.3853  1 Ru 1.70
H 0.6147 0.0605 0.6147  1 Ru 1.70
H 0.6147 0.6147 0.0605  1 Ru 1.70
H 0.9395 0.3853 0.3853  1 Ru 1.70
Ru 0.5000 0.5000 0.5000  6 H 1.70